DFT (PBE+U) results for Li2HfMnO4 after structural relaxation.

Output
spin magnetization = 5.00 μB per cell
DFT total energy = -7.633 eV per atom
V = 86.67 Å³/cell

Lattice parameters (Å, degrees): 4.227 4.227 5.698 111.78 111.77 90.00
Sites, in units of the cell vectors:
Li1 0.250 0.750 0.500
Li2 0.999 0.999 0.999
Hf1 0.500 0.500 0.000
Mn1 0.750 0.250 0.500
O1 0.996 0.496 0.992
O2 0.504 0.004 0.008
O3 0.714 0.714 0.428
O4 0.286 0.286 0.573